No. 1
HfIn, optimized geometry, DFT PBE; space-group type = No. 223; formation energy from the elements = 1.423 eV/atom; total moment = 0.00 μB per formula unit
1.0
7.9747 0.0000 0.0000
0.0000 7.9747 0.0000
0.0000 0.0000 7.9747
Hf In
6 6
direct
0.0000 0.2500 0.5000
0.0000 0.7500 0.5000
0.2500 0.5000 0.0000
0.5000 0.0000 0.2500
0.5000 0.0000 0.7500
0.7500 0.5000 0.0000
0.0000 0.5000 0.2500
0.0000 0.5000 0.7500
0.2500 0.0000 0.5000
0.5000 0.2500 0.0000
0.5000 0.7500 0.0000
0.7500 0.0000 0.5000

=====

No. 2
HfIn, optimized geometry, DFT PBE; space-group type = No. 2; formation energy from the elements = -0.122 eV/atom; total moment = 0.00 μB per formula unit
1.0
3.2409 0.0000 0.0000
-0.0052 5.3125 0.0000
-1.6007 -2.3818 5.1490
Hf In
2 2
direct
0.1295 0.4435 0.2558
0.8705 0.5565 0.7442
0.3753 0.0564 0.7527
0.6247 0.9436 0.2473

=====

No. 3
Hf4In, optimized geometry, DFT PBE; space-group type = No. 74; formation energy from the elements = 0.020 eV/atom; relative energy among the computed polymorphs = 0 meV per atom; total moment = 0.00 μB per formula unit
1.0
-2.4209 3.0682 7.3873
2.4209 -3.0682 7.3873
2.4209 3.0682 -7.3873
Hf In
8 2
direct
0.0000 0.0000 0.0000
0.2017 0.1980 0.0037
0.3057 0.8020 0.5037
0.3546 0.6046 0.7500
0.5000 0.0000 0.5000
0.6454 0.3954 0.2500
0.6943 0.1980 0.4963
0.7983 0.8020 0.9963
0.1427 0.3927 0.7500
0.8573 0.6073 0.2500

=====

No. 4
HfIn, optimized geometry, DFT PBE; space-group type = No. 176; formation energy from the elements = 0.310 eV/atom; total moment = 0.00 μB per formula unit
1.0
8.0686 0.0000 0.0000
-4.0343 6.9876 0.0000
0.0000 0.0000 5.3117
Hf In
6 6
direct
0.0951 0.4720 0.2500
0.3769 0.9049 0.2500
0.4720 0.3769 0.7500
0.5280 0.6231 0.2500
0.6231 0.0951 0.7500
0.9049 0.5280 0.7500
0.0598 0.2590 0.7500
0.1991 0.9402 0.7500
0.2590 0.1991 0.2500
0.7410 0.8009 0.7500
0.8009 0.0598 0.2500
0.9402 0.7410 0.2500

=====

No. 5
HfIn, optimized geometry, DFT PBE; space-group type = No. 44; formation energy from the elements = 0.009 eV/atom; total moment = 0.00 μB per formula unit
1.0
-1.6003 7.0702 3.0714
1.6003 -7.0702 3.0714
1.6003 7.0702 -3.0714
Hf In
3 3
direct
0.0000 0.0000 0.0000
0.0613 0.7218 0.3394
0.3824 0.7218 0.6606
0.4779 0.4779 0.0000
0.5810 0.2358 0.3451
0.8907 0.2358 0.6549

=====

No. 6
HfIn, optimized geometry, DFT PBE; space-group type = No. 139; formation energy from the elements = 0.165 eV/atom; total moment = 0.00 μB per formula unit
1.0
-4.7027 4.7027 2.2092
4.7027 -4.7027 2.2092
4.7027 4.7027 -2.2092
Hf In
4 4
direct
0.1660 0.1660 0.3320
0.1660 0.8340 0.0000
0.8340 0.1660 0.0000
0.8340 0.8340 0.6680
0.1923 0.5000 0.6923
0.5000 0.1923 0.6923
0.5000 0.8077 0.3077
0.8077 0.5000 0.3077

=====

The lowest formation energy from the elements belongs to which entry? number 2

=====

Look up the total moment of the second one. 0.00 μB per formula unit

=====

Look up the total moment of the sixth one. 0.00 μB per formula unit

=====

Among the records above, which one has the lowest formation energy from the elements? number 2